(1)
CaPm3Nd7 | PBE | relaxed

```
11
Lattice="5.973 -5.162 0.000 5.973 5.162 0.000 -0.542 0.000 6.604" Properties=species:S:1:pos:R:3 pbc="T T T"
Ca 0.000 0.000 0.000
Pm 5.703 1.757 3.302
Pm 5.973 0.000 0.000
Pm 5.703 -1.757 3.302
Nd -0.271 0.000 3.302
Nd 2.526 1.781 4.990
Nd 3.017 0.000 1.926
Nd 2.526 -1.781 4.990
Nd 8.879 1.781 1.613
Nd 8.388 0.000 4.678
Nd 8.879 -1.781 1.613
```

Properties
relative energy among the computed polymorphs = 0.018 eV per atom
energy relative to the elements = 0.22 eV per atom
calculated density = 6.1 Mg/m³
SG = No. 12
N(E_F) = 14.81 states/eV per cell

(2)
Ca2Pm6Nd5 | PBE | relaxed

```
26
Lattice="12.251 0.000 0.000 0.000 20.950 0.000 0.000 0.000 3.635" Properties=species:S:1:pos:R:3 pbc="T T T"
Ca 2.005 4.521 0.000
Ca 4.121 14.997 0.000
Ca 8.130 5.954 0.000
Ca 10.246 16.429 0.000
Pm 0.651 19.347 0.000
Pm 0.861 13.379 0.000
Pm 2.278 7.939 1.817
Pm 3.847 18.415 1.817
Pm 5.264 2.904 0.000
Pm 5.474 8.872 0.000
Pm 6.777 12.078 0.000
Pm 6.987 18.047 0.000
Pm 8.403 2.536 1.817
Pm 9.973 13.011 1.817
Pm 11.389 7.572 0.000
Pm 11.599 1.603 0.000
Nd 0.000 10.475 1.817
Nd 1.185 16.369 1.817
Nd 2.543 1.081 1.817
Nd 3.583 11.556 1.817
Nd 4.940 5.894 1.817
Nd 6.125 0.000 1.817
Nd 7.310 15.057 1.817
Nd 8.668 9.395 1.817
Nd 9.708 19.870 1.817
Nd 11.066 4.581 1.817
```

Properties
energy relative to the elements = 0.12 eV per atom
calculated density = 5.9 Mg/m³
SG = No. 55
N(E_F) = 40.35 states/eV per cell

(3)
CaPm2Nd5 | PBE | relaxed

```
16
Lattice="6.630 -8.075 0.000 6.630 8.075 0.000 -2.851 0.000 5.456" Properties=species:S:1:pos:R:3 pbc="T T T"
Ca 4.491 5.610 4.092
Ca 5.917 -5.610 1.364
Pm 3.315 4.038 0.000
Pm 1.889 -4.038 2.728
Pm 6.630 0.000 0.000
Pm 5.204 0.000 2.728
Nd -0.383 0.868 5.002
Nd 2.543 2.335 3.069
Nd 1.042 -0.868 2.274
Nd 5.917 3.285 1.364
Nd 3.969 -2.335 0.341
Nd 6.439 2.335 5.115
Nd 4.491 -3.285 4.092
Nd 9.366 0.868 3.182
Nd 7.865 -2.335 2.387
Nd 10.791 -0.868 0.454
```

Properties
energy relative to the elements = 0.24 eV per atom
calculated density = 6.0 Mg/m³
SG = No. 15
N(E_F) = 31.84 states/eV per cell

(4)
CaPm3Nd5 | PBE | relaxed

```
18
Lattice="10.110 0.000 0.000 -5.055 8.756 0.000 0.000 0.000 7.179" Properties=species:S:1:pos:R:3 pbc="T T T"
Ca 0.000 0.000 0.000
Ca 0.000 0.000 3.590
Pm -1.797 3.113 1.795
Pm -3.258 5.643 5.385
Pm 3.594 0.000 1.795
Pm 1.797 3.113 5.385
Pm 6.516 0.000 5.385
Pm 3.258 5.643 1.795
Nd -1.587 2.748 5.385
Nd -3.469 6.008 1.795
Nd 3.173 0.000 5.385
Nd 1.587 2.748 1.795
Nd 0.000 5.837 0.000
Nd 0.000 5.837 3.590
Nd 5.055 2.919 0.000
Nd 5.055 2.919 3.590
Nd 6.937 0.000 1.795
Nd 3.469 6.008 5.385
```

Properties
energy relative to the elements = 0.08 eV per atom
calculated density = 6.3 Mg/m³
SG = No. 193
N(E_F) = 27.24 states/eV per cell

The evaluated uncorrected energy for the records listed, in turn: -0.3157 -0.3097 -0.3068 -0.3212 Ry/atom.